# 1
A relaxed structure of Ho3Mg3CdAg2. Source: the Open Quantum Materials Database, functional PBE.

Computed properties:
Its space group is No. 189. The total energy is -3.022 eV/atom.

abc: 7.7256 7.7256 4.1498
angles: 90.00 90.00 120.00
With the nearest neighbours (Å) after each atom.
Element x y z (fractional)
Ho1 0.0000 0.4155 0.0000  4 Ag 3.12, 1 Cd 3.21, 6 Mg 3.29-3.49
Ho2 0.4155 0.0000 0.0000  4 Ag 3.12, 1 Cd 3.21, 6 Mg 3.29-3.49
Ho3 0.5845 0.5845 0.0000  4 Ag 3.12, 1 Cd 3.21, 6 Mg 3.29-3.49
Mg1 0.0000 0.7454 0.5000  2 Cd 2.86, 2 Ag 2.93
Mg2 0.2546 0.2546 0.5000  2 Cd 2.86, 2 Ag 2.93
Mg3 0.7454 0.0000 0.5000  2 Cd 2.86, 2 Ag 2.93
Cd1 0.0000 0.0000 0.0000  6 Mg 2.86
Ag1 0.3333 0.6667 0.5000  3 Mg 2.93, 6 Ho 3.12
Ag2 0.6667 0.3333 0.5000  3 Mg 2.93, 6 Ho 3.12

# 2
A relaxed structure of Ho2TmMg3Cd2Ag. Source: the Open Quantum Materials Database, functional PBE.

Computed properties:
Its space group is No. 38. The total energy is -2.795 eV/atom.

abc: 4.1765 7.7473 7.7473
angles: 119.88 90.00 90.00
With the nearest neighbours (Å) after each atom.
Element x y z (fractional)
Ho1 0.0000 0.2036 0.7964  4 Cd 3.15, 1 Ag 3.16, 6 Mg 3.41-3.46
Ho2 0.0000 0.7964 0.2036  4 Cd 3.15, 1 Ag 3.16, 6 Mg 3.41-3.46
Tm1 0.0000 0.3899 0.3899  4 Cd 3.14, 1 Ag 3.14, 6 Mg 3.42-3.45
Mg1 0.5000 0.0407 0.0407  2 Ag 2.83, 2 Cd 2.98
Mg2 0.5000 0.5515 0.7959  2 Ag 2.82, 2 Cd 2.99-3.00
Mg3 0.5000 0.7959 0.5515  2 Ag 2.82, 2 Cd 2.99-3.00
Cd1 0.5000 0.1305 0.4623  3 Mg 2.98-3.00, 2 Tm 3.14, 4 Ho 3.15
Cd2 0.5000 0.4623 0.1305  3 Mg 2.98-3.00, 2 Tm 3.14, 4 Ho 3.15
Ag1 0.0000 0.7949 0.7949  6 Mg 2.82-2.83, 1 Tm 3.14

# 3
A relaxed structure of HoTm2Mg3Cd2Ag. Source: the Open Quantum Materials Database, functional PBE.

Computed properties:
Its space group is No. 38. The total energy is -2.779 eV/atom.

abc: 4.1586 7.7520 7.7520
angles: 120.20 90.00 90.00
With the nearest neighbours (Å) after each atom.
Element x y z (fractional)
Ho1 0.0000 0.0000 0.0000  4 Cd 3.15, 1 Ag 3.16, 6 Mg 3.40-3.45
Tm1 0.0000 0.1858 0.5927  4 Cd 3.13, 1 Ag 3.15, 6 Mg 3.41-3.45
Tm2 0.0000 0.5927 0.1858  4 Cd 3.13, 1 Ag 3.15, 6 Mg 3.41-3.45
Mg1 0.5000 0.3477 0.3477  2 Ag 2.81, 2 Cd 2.99
Mg2 0.5000 0.5921 0.8375  2 Ag 2.82, 2 Cd 2.97-2.98
Mg3 0.5000 0.8375 0.5921  2 Ag 2.82, 2 Cd 2.97-2.98
Cd1 0.5000 0.2603 0.9252  3 Mg 2.97-2.99, 4 Tm 3.13, 2 Ho 3.15
Cd2 0.5000 0.9252 0.2603  3 Mg 2.97-2.99, 4 Tm 3.13, 2 Ho 3.15
Ag1 0.0000 0.5913 0.5913  6 Mg 2.81-2.82

# 4
A relaxed structure of TbHo2Cd3Ag3. Source: the Open Quantum Materials Database, functional PBE.

Computed properties:
Its space group is No. 38. As for the formation energy: -0.3353 eV/atom.

abc: 3.8991 7.8472 7.8472
angles: 120.08 90.00 90.00
With the nearest neighbours (Å) after each atom.
Element x y z (fractional)
Tb1 0.0000 0.0000 0.0000  5 Ag 3.09-3.17, 6 Cd 3.26-3.41
Ho1 0.0000 0.4044 0.8091  5 Ag 3.07-3.17, 6 Cd 3.25-3.40
Ho2 0.0000 0.8091 0.4044  5 Ag 3.07-3.17, 6 Cd 3.25-3.40
Cd1 0.5000 0.1409 0.4051  4 Ag 2.85-2.93
Cd2 0.5000 0.4051 0.1409  4 Ag 2.85-2.93
Cd3 0.5000 0.6674 0.6674  4 Ag 2.83-2.94
Ag1 0.0000 0.4050 0.4050  6 Cd 2.83-2.85, 2 Ho 3.17
Ag2 0.5000 0.0715 0.7364  3 Cd 2.91-2.94, 4 Ho 3.07-3.08, 2 Tb 3.09
Ag3 0.5000 0.7364 0.0715  3 Cd 2.91-2.94, 4 Ho 3.07-3.08, 2 Tb 3.09

| no. | M_tot (μB per cell) |
| --- | --- |
| 1 | 0.02 |
| 2 | 0.01 |
| 3 | 0.02 |
| 4 | 0.01 |